The following is a DFT calculation (PBE) of a relaxed ScTcGe crystal.

Summary:
Excess energy over the best structure of this formula in the dataset (eV per formula unit): 0.576
Raw total energy (eV per atom): -7.53
Energy of formation (eV per atom): -0.4213

a = 9.5683 Å, b = 4.9862 Å, c = 8.3364 Å
α = 90.00°, β = 90.00°, γ = 90.00°
Atoms (fractional coordinates):
1 Sc 0.7500 0.2500 0.0588
2 Sc 0.5000 0.5000 0.3088
3 Sc 0.5000 0.0000 0.8088
4 Sc 0.0000 0.0000 0.3088
5 Sc 0.2500 0.7500 0.0588
6 Sc 0.2500 0.2500 0.5588
7 Sc 0.7500 0.7500 0.5588
8 Sc 0.0000 0.5000 0.8088
9 Tc 0.0000 0.0000 0.9765
10 Tc 0.0000 0.5000 0.4765
11 Tc 0.2500 0.7500 0.7265
12 Tc 0.7500 0.7500 0.2265
13 Tc 0.5000 0.5000 0.9765
14 Tc 0.2500 0.2500 0.2265
15 Tc 0.7500 0.2500 0.7265
16 Tc 0.5000 0.0000 0.4765
17 Ge 0.2500 0.7500 0.4016
18 Ge 0.2500 0.2500 0.9016
19 Ge 0.5000 0.0000 0.1516
20 Ge 0.7500 0.2500 0.4016
21 Ge 0.0000 0.0000 0.6516
22 Ge 0.7500 0.7500 0.9016
23 Ge 0.5000 0.5000 0.6516
24 Ge 0.0000 0.5000 0.1516